# YAgRh3

A relaxed structure of YAgRh3 (GGA-PBE, Alexandria via LeMat-Bulk).

Computed properties:
- Relative energy among the computed polymorphs: 0 meV/atom
- Calculated total energy: -5.388 eV/atom
- Magnetic moment: 0.8 μB/cell
- Formation enthalpy at 0 K: 0.8857 eV/atom

abc: 4.805 4.805 4.805
angles: 90.00 90.00 90.00
Site moments in Bohr magnetons follow the coordinates.
Positions (direct):
Y 0.500 0.500 0.500  -0.03
Rh 0.500 0.000 0.000  0.20
Rh 0.000 0.500 0.000  0.29
Rh 0.000 0.000 0.500  0.35
Ag 0.000 0.000 0.000  0.01